Entry from Alexandria: crystalline Sb2WCl at its relaxed geometry (PBE-GGA).

* energy above the lowest structure with this stoichiometry: 530 meV per atom
* formation energy from raw total energies: 2.79 eV/f.u.
* space-group type: I4/mmm (139)
* M_tot: 0.001 μB per cell
* uncorrected energy: -5.0627 eV/atom

Lattice parameters (Å, degrees): 5.110 5.110 5.110 126.89 126.89 78.43
Sites, in units of the cell vectors:
Cl 0.750 0.250 0.500
Sb 0.000 0.000 0.000
W 0.250 0.750 0.500
Sb 0.500 0.500 0.000


Entry from Alexandria: crystalline K2CaW at its relaxed geometry (PBE-GGA).

* energy above the lowest structure with this stoichiometry: 281 meV per atom
* formation energy from the elements: 1.3654 eV per atom
* space-group type: Cmmm (65)
* M_tot: 0.000 μB per cell
* uncorrected energy: -2.9220 eV/atom

Lattice parameters (Å, degrees): 3.116 3.116 13.545 90.00 90.00 109.58
Sites, in units of the cell vectors:
K 0.000 0.000 0.033
W 0.500 0.500 0.250
K 0.000 0.000 0.467
Ca 0.500 0.500 0.750


Entry from Alexandria: crystalline AcPaTi2O8 at its relaxed geometry (PBE-GGA).

* formation energy from raw total energies: -39.52 eV/f.u.
* space-group type: I-4 (82)
* M_tot: 0.000 μB per cell
* uncorrected energy: -9.0483 eV/atom

Lattice parameters (Å, degrees): 5.269 5.269 6.915 112.40 112.40 90.00
Sites, in units of the cell vectors:
O 0.748 0.833 0.143
O 0.594 0.698 0.678
O 0.167 0.605 0.857
Ti 0.500 0.500 0.000
Pa 0.000 0.000 0.000
O 0.020 0.406 0.322
O 0.690 0.252 0.857
O 0.302 0.916 0.322
Ac 0.750 0.250 0.500
O 0.084 0.980 0.678
O 0.395 0.310 0.143
Ti 0.250 0.750 0.500


Entry from Alexandria: crystalline TcSe2NF at its relaxed geometry (PBE-GGA).

* energy above the lowest structure with this stoichiometry: 0 meV per atom
* formation energy from raw total energies: 1.18 eV/f.u.
* space-group type: P4/mmm (123)
* M_tot: 0.680 μB per cell
* uncorrected energy: -5.2703 eV/atom

Lattice parameters (Å, degrees): 4.928 4.928 3.715 90.00 90.00 90.00
Site moments in Bohr magnetons follow the coordinates.
Sites, in units of the cell vectors:
Tc 0.000 0.000 0.000  -0.10
F 0.500 0.500 0.500  0.13
N 0.000 0.000 0.500  0.07
Se 0.000 0.500 0.000  0.18
Se 0.500 0.000 0.000  0.18


Entry from Alexandria: crystalline RbZn2Fe2 at its relaxed geometry (PBE-GGA).

* energy above the lowest structure with this stoichiometry: 222 meV per atom
* formation energy from the elements: 0.7262 eV per atom
* space-group type: I4/mmm (139)
* M_tot: 5.028 μB per cell
* uncorrected energy: -3.3620 eV/atom

Lattice parameters (Å, degrees): 4.674 4.674 5.806 66.27 66.27 90.00
Site moments in Bohr magnetons follow the coordinates.
Sites, in units of the cell vectors:
Fe 0.381 0.381 0.238  2.58
Rb 0.000 0.000 0.000  -0.01
Zn 0.750 0.250 0.500  -0.05
Fe 0.619 0.619 0.762  2.58
Zn 0.250 0.750 0.500  -0.05


Entry from Alexandria: crystalline La4Os3 at its relaxed geometry (PBE-GGA).

* energy above the lowest structure with this stoichiometry: 30 meV per atom
* formation energy from the elements: 0.1839 eV per atom
* space-group type: I4/mmm (139)
* M_tot: 0.000 μB per cell
* uncorrected energy: -7.4445 eV/atom

Lattice parameters (Å, degrees): 15.972 15.972 15.972 167.38 167.38 17.88
Sites, in units of the cell vectors:
Os 0.262 0.262 0.000
La 0.170 0.170 0.000
La 0.445 0.445 0.000
Os 0.738 0.738 0.000
La 0.830 0.830 0.000
Os 0.000 0.000 0.000
La 0.555 0.555 0.000


Entry from Alexandria: crystalline FeSb2Ir at its relaxed geometry (PBE-GGA).

* energy above the lowest structure with this stoichiometry: 376 meV per atom
* formation energy from raw total energies: 1.09 eV/f.u.
* space-group type: R-3m (166)
* M_tot: 1.556 μB per cell
* uncorrected energy: -6.1201 eV/atom

Lattice parameters (Å, degrees): 8.145 8.145 8.145 22.92 22.92 22.92
Site moments in Bohr magnetons follow the coordinates.
Sites, in units of the cell vectors:
Sb 0.996 0.996 0.996  -0.04
Sb 0.504 0.504 0.504  -0.04
Fe 0.250 0.250 0.250  1.81
Ir 0.750 0.750 0.750  -0.10


Entry from Alexandria: crystalline YMnOs2 at its relaxed geometry (PBE-GGA).

* energy above the lowest structure with this stoichiometry: 136 meV per atom
* formation energy from the elements: 0.2739 eV per atom
* space-group type: Imm2 (44)
* M_tot: 3.948 μB per cell
* uncorrected energy: -9.2494 eV/atom

Lattice parameters (Å, degrees): 5.537 5.537 5.537 147.44 130.56 60.46
Site moments in Bohr magnetons follow the coordinates.
Sites, in units of the cell vectors:
Os 0.995 0.995 0.000  0.13
Mn 0.230 0.730 0.500  3.56
Os 0.771 0.271 0.500  0.07
Y 0.504 0.504 0.000  -0.01


> M_tot of number 3 (AcPaTi2O8)?

0.000 μB per cell